# 1
## Tl2SnPb3 (PBE)

Data for a relaxed Tl2SnPb3 crystal.

Symmetry: Cmc2_1

Geometry as POSCAR:
```
Tl2SnPb3
1.0
6.730 0.000 0.000
0.000 7.270 1.841
0.000 -1.364 7.374
Tl Sn Pb
4 2 6
Direct
0.720 0.099 0.435
0.220 0.565 0.901
0.220 0.901 0.565
0.720 0.435 0.099
0.719 0.778 0.778
0.219 0.222 0.222
0.470 0.165 0.836
0.970 0.164 0.835
0.468 0.499 0.499
0.968 0.501 0.501
0.970 0.835 0.164
0.470 0.836 0.165
```

# 2
## Tl2Sn2Pb (PBE)

Data for a relaxed Tl2Sn2Pb crystal.

Symmetry: P4/mbm

Geometry as POSCAR:
```
Tl2Sn2Pb
1.0
-4.146 2.432 -7.810
-1.589 -8.829 -1.906
-3.146 0.193 1.730
Pb Tl Sn
2 4 4
Direct
0.000 0.000 0.000
0.500 0.500 0.000
0.148 0.648 0.500
0.648 0.852 0.500
0.852 0.352 0.500
0.352 0.148 0.500
0.350 0.850 0.000
0.850 0.650 0.000
0.650 0.150 0.000
0.150 0.350 0.000
```

# 3
## Tl2SnPb3 (PBE)

Data for a relaxed Tl2SnPb3 crystal.

Symmetry: C2/c

Geometry as POSCAR:
```
Tl2SnPb3
1.0
-1.888 5.280 4.041
-7.150 -0.198 2.829
-1.956 -3.156 9.121
Tl Sn Pb
4 2 6
Direct
0.667 0.249 0.416
0.667 0.749 0.916
0.333 0.251 0.084
0.333 0.751 0.584
0.247 0.750 0.250
0.753 0.250 0.750
0.269 0.250 0.750
0.731 0.750 0.250
0.132 0.801 0.934
0.867 0.699 0.566
0.133 0.301 0.434
0.868 0.199 0.066
```

The records above give, respectively, calculated total energy values of -3.265, -3.185, -3.250 eV per atom.
The records above give, respectively, calculated formation energy values of 45, 104, 60 meV per atom.
The records above give, respectively, ΔE to the lowest computed polymorph values of 0, 57, 15 meV/atom.